# 1
Density functional theory data (PBE) for crystalline LiRhSe2 at its relaxed geometry.

ΔE_f (raw) = -450.3 meV/atom

Unit cell a=3.584 b=3.584 c=5.368 alpha=90.00 beta=90.00 gamma=90.00
Space group P4mm (No. 99)
Inequivalent atoms, fractional coordinates:
Li: 0.000 0.000 0.000 (multiplicity 1)
Rh: 0.500 0.500 0.388 (multiplicity 1)
Se: 0.000 0.000 0.491 (multiplicity 1)
Se: 0.500 0.500 0.927 (multiplicity 1)

---

# 2
Density functional theory data (PBE) for crystalline NaHfZrTe2 at its relaxed geometry.

ΔE_f (raw) = 210.3 meV/atom

Unit cell a=5.641 b=5.641 c=5.250 alpha=90.00 beta=90.00 gamma=90.00
Space group P4/mmm (No. 123)
Inequivalent atoms, fractional coordinates:
Na: 0.000 0.000 0.000 (multiplicity 1)
Hf: 0.500 0.500 0.500 (multiplicity 1)
Zr: 0.500 0.500 0.000 (multiplicity 1)
Te: 0.000 0.500 0.500 (multiplicity 2)

---

# 3
Density functional theory data (PBE) for crystalline Ba3Hg3Pd2 at its relaxed geometry.

ΔH_f (0 K) = -546.4 meV per atom

Unit cell a=4.679 b=11.958 c=17.706 alpha=90.00 beta=90.00 gamma=90.00
Space group Cmcm (No. 63)
Inequivalent atoms, fractional coordinates:
Ba: 0.000 0.073 0.102 (multiplicity 8)
Ba: 0.000 0.352 0.250 (multiplicity 4)
Hg: 0.000 0.356 0.750 (multiplicity 4)
Hg: 0.000 0.357 0.038 (multiplicity 8)
Pd: 0.000 0.224 0.614 (multiplicity 8)

---

# 4
Density functional theory data (PBE) for crystalline HoTm2ScTe4 at its relaxed geometry.

ΔE_f (raw) = -1166.0 meV/atom

Unit cell a=7.429 b=4.238 c=7.453 alpha=90.00 beta=108.92 gamma=90.00
Space group P2/m (No. 10)
Inequivalent atoms, fractional coordinates:
Ho: 0.000 0.000 0.000 (multiplicity 1)
Tm: 0.500 0.000 0.500 (multiplicity 1)
Tm: 0.500 0.500 0.000 (multiplicity 1)
Sc: 0.000 0.500 0.500 (multiplicity 1)
Te: 0.245 0.000 0.743 (multiplicity 2)
Te: 0.249 0.500 0.255 (multiplicity 2)

---

# 5
Density functional theory data (PBE) for crystalline K2RbCa at its relaxed geometry.

ΔH_f (0 K) = 190.4 meV per atom

Unit cell a=4.3126 b=4.3126 c=49.1906 alpha=90.00 beta=90.00 gamma=120.00
Space group R-3m (No. 166, hexagonal axes)
Inequivalent atoms, fractional coordinates:
K: 0.0000 0.0000 0.0814 (multiplicity 6)
Rb: 0.0000 0.0000 0.5000 (multiplicity 3)
Ca: 0.0000 0.0000 0.0000 (multiplicity 3)

---

# 6
Density functional theory data (PBE) for crystalline NaGa2Sb2 at its relaxed geometry.

ΔE_f (raw) = -37.5 meV/atom

Unit cell a=8.152 b=8.152 c=3.855 alpha=90.00 beta=90.00 gamma=90.00
Space group P4/mbm (No. 127)
Inequivalent atoms, fractional coordinates:
Na: 0.000 0.000 0.000 (multiplicity 2)
Ga: 0.145 0.355 0.500 (multiplicity 4)
Sb: 0.140 0.640 0.000 (multiplicity 4)

---

# 7
Density functional theory data (PBE) for crystalline BPH2 at its relaxed geometry.

VASP energy = -3.4340 eV per atom

Unit cell a=4.675 b=4.675 c=4.675 alpha=90.00 beta=90.00 gamma=90.00
Space group Fm-3m (No. 225)
Inequivalent atoms, fractional coordinates:
B: 0.000 0.000 0.000 (multiplicity 4)
P: 0.000 0.000 0.500 (multiplicity 4)
H: 0.250 0.250 0.250 (multiplicity 8)

---

# 8
Density functional theory data (PBE) for crystalline MoAuBr4 at its relaxed geometry.

ΔE_f (raw) = 1231.7 meV/atom

Unit cell a=8.666 b=8.666 c=8.666 alpha=90.00 beta=90.00 gamma=90.00
Space group F-43m (No. 216)
Inequivalent atoms, fractional coordinates:
Mo: 0.000 0.000 0.000 (multiplicity 4)
Au: 0.250 0.250 0.750 (multiplicity 4)
Br: 0.124 0.124 0.376 (multiplicity 16)

---

# 9
Density functional theory data (PBE) for crystalline Na3TeH at its relaxed geometry.

VASP energy = -2.6252 eV per atom

Unit cell a=5.795 b=11.776 c=7.564 alpha=90.00 beta=90.00 gamma=90.00
Space group Pnma (No. 62)
Inequivalent atoms, fractional coordinates:
Na: 0.013 0.100 0.117 (multiplicity 8)
Na: 0.106 0.250 0.656 (multiplicity 4)
Te: 0.000 0.000 0.500 (multiplicity 4)
H: 0.024 0.750 0.052 (multiplicity 4)

---

# 10
Density functional theory data (PBE) for crystalline BaCuPt2 at its relaxed geometry.

ΔH_f (0 K) = -8.3 meV per atom

Unit cell a=4.303 b=4.303 c=4.395 alpha=90.00 beta=90.00 gamma=90.00
Space group P4/mmm (No. 123)
Inequivalent atoms, fractional coordinates:
Ba: 0.000 0.000 0.000 (multiplicity 1)
Cu: 0.500 0.500 0.000 (multiplicity 1)
Pt: 0.000 0.500 0.500 (multiplicity 2)

---

# 11
Density functional theory data (PBE) for crystalline Zn2FePt9 at its relaxed geometry.

ΔH_f (0 K) = -304.6 meV per atom

Unit cell a=3.929 b=3.929 c=11.742 alpha=90.00 beta=90.00 gamma=90.00
Space group P4/mmm (No. 123)
Inequivalent atoms, fractional coordinates:
Zn: 0.000 0.000 0.166 (multiplicity 2)
Fe: 0.000 0.000 0.500 (multiplicity 1)
Pt: 0.000 0.500 0.000 (multiplicity 2)
Pt: 0.000 0.500 0.336 (multiplicity 4)
Pt: 0.500 0.500 0.168 (multiplicity 2)
Pt: 0.500 0.500 0.500 (multiplicity 1)

---

# 12
Density functional theory data (PBE) for crystalline HfInCo at its relaxed geometry.

ΔH_f (0 K) = -19.8 meV per atom

Unit cell a=6.1017 b=6.1017 c=10.8637 alpha=90.00 beta=90.00 gamma=120.00
Space group P6_222 (No. 180)
Inequivalent atoms, fractional coordinates:
Hf: 0.0000 0.5000 0.3833 (multiplicity 6)
In: 0.0000 0.0000 0.1667 (multiplicity 3)
In: 0.0000 0.5000 0.6667 (multiplicity 3)
Co: 0.2163 0.6082 0.1667 (multiplicity 6)

---

Density, respectively: 6.45 5.45 8.22 7.92 1.28 5.26 2.85 6.25 2.54 12.06 17.79 10.02 g cm⁻³.
Total moment, respectively: 0.0 0.0 0.0 0.0 0.0 0.0 0.0 16.9 0.0 0.0 4.2 0.0 μB/cell.